# KLiNd2Te4 | Alexandria via LeMat-Bulk | PBE | relaxed
data_KLiNd2Te4
_cell_length_a 4.582
_cell_length_b 15.250
_cell_length_c 15.997
_cell_angle_alpha 90.00
_cell_angle_beta 90.00
_cell_angle_gamma 90.00
_space_group_name_H-M_alt 'C m c m'
_space_group_IT_number 63
_space_group_name_Hall '-C 2c 2'
loop_
_atom_site_label
_atom_site_type_symbol
_atom_site_fract_x
_atom_site_fract_y
_atom_site_fract_z
K1 K 0.000 0.112 0.250
Li1 Li 0.000 0.160 0.750
Nd1 Nd 0.000 0.366 0.063
Te1 Te 0.000 0.000 0.000
Te2 Te 0.000 0.268 0.612
Te3 Te 0.000 0.437 0.250
# Total energy ... -143.6 eV/cell
# Volume ... 34.93 Å³/atom
# E_form (uncorrected) ... -1.3489 eV/atom